Li4Mn3O7: optimized geometry, PBE with a Hubbard U.

a = 5.0959 Å, b = 5.3499 Å, c = 10.1053 Å
α = 102.37°, β = 101.22°, γ = 95.83°
Last column: nearest neighbours and their distance in Å.
Fractional coordinates of all 28 atoms:
Mn  0.2838  0.6403  0.2810  4 O 1.94-1.99
Mn  0.4278  0.2141  0.4293  4 O 1.95-1.98
Mn  0.5722  0.7859  0.5707  4 O 1.95-1.98
Mn  0.8571  0.9304  0.8584  6 O 1.93-1.99
Mn  0.7162  0.3597  0.7190  4 O 1.94-1.99
Mn  0.1429  0.0696  0.1416  6 O 1.93-1.99
Li  0.4057  0.2079  0.9327  5 O 2.05-2.23
Li  0.2971  0.6663  0.7859  5 O 2.04-2.15
Li  0.0000  0.5000  0.0000  4 O 2.05-2.07
Li  0.7029  0.3337  0.2141  5 O 2.04-2.15
Li  0.8628  0.9278  0.3570  6 O 2.05-2.21
Li  0.5943  0.7921  0.0673  5 O 2.05-2.23
Li  0.0000  0.5000  0.5000  6 O 2.13-2.21
Li  0.1372  0.0722  0.6430  6 O 2.05-2.21
O  0.3323  0.3961  0.1181  2 Mn 1.94-1.99, 3 Li 2.04-2.07
O  0.0848  0.2690  0.3168  2 Mn 1.95-1.98, 2 Li 2.12-2.14
O  0.0290  0.2480  0.8216  2 Mn 1.95-1.97, 3 Li 2.05-2.08
O  0.8030  0.1206  0.0338  2 Mn 1.93-1.94, 2 Li 2.09-2.11
O  0.4833  0.0134  0.2503  2 Mn 1.95-1.98, 3 Li 2.09-2.18
O  0.6298  0.5876  0.3946  2 Mn 1.96-1.99, 2 Li 2.13-2.15
O  0.7689  0.1606  0.5380  2 Mn 1.95-1.99, 2 Li 2.12-2.15
O  0.1970  0.8794  0.9662  2 Mn 1.93-1.94, 2 Li 2.09-2.11
O  0.5167  0.9866  0.7497  2 Mn 1.95-1.98, 3 Li 2.09-2.18
O  0.3702  0.4124  0.6054  2 Mn 1.96-1.99, 2 Li 2.13-2.15
O  0.6677  0.6039  0.8819  2 Mn 1.94-1.99, 3 Li 2.04-2.07
O  0.2311  0.8394  0.4620  2 Mn 1.95-1.99, 2 Li 2.12-2.15
O  0.9710  0.7520  0.1784  2 Mn 1.95-1.97, 3 Li 2.05-2.08
O  0.9152  0.7310  0.6832  2 Mn 1.95-1.98, 2 Li 2.12-2.14

Computed properties:
The space group is No. 2. Its total magnetization is 11.0 μB per formula unit. For the total energy, the calculation gives -6.42 eV per atom. Its density is 3.876 Mg/m³.